{"formula": "DyPuPaGa", "functional": "PBE-GGA", "state": "relaxed", "cell": [[5.113, 0.000, 0.000], [2.556, 4.428, 0.000], [2.556, 1.476, 4.175]], "species": ["Pa", "Dy", "Ga", "Pu"], "frac_coords": [[0.750, 0.750, 0.750], [0.000, 0.000, 0.000], [0.250, 0.250, 0.250], [0.500, 0.500, 0.500]], "dos_at_fermi_per_ev_atom": 2.205, "formation_enthalpy_0k_mev_per_atom": 59.5, "total_magnetization_mub_per_cell": 6.90}